Entry from Alexandria via LeMat-Bulk: crystalline SmSi3Rh at its relaxed geometry (PBE).

**Mass density**: 6.4 g/cm³
**Energy above the lowest structure with this stoichiometry**: 52 meV/atom
**Volume**: 87.2 Å³/f.u.

Cell: 5.678 5.678 6.019 Å, 90.00 90.00 116.03°
Fractional positions:
Si 0.239 0.239 0.500
Si 0.369 0.631 0.250
Si 0.761 0.761 0.500
Si 0.761 0.761 0.000
Si 0.239 0.239 0.000
Si 0.631 0.369 0.750
Rh 0.877 0.123 0.750
Rh 0.123 0.877 0.250
Sm 0.253 0.747 0.750
Sm 0.747 0.253 0.250